An optimized crystal structure of ZrAlGa2. Source: Alexandria, functional GGA-PBE.

**ΔE_f**: -0.4606 eV per atom
**Symmetry**: P4/mmm

Cell lengths 4.1437, 4.1437, 4.0592 Å; angles 90.00, 90.00, 90.00 degrees
Last column: nearest neighbours and their distance in Å.
Sites, in units of the cell vectors:
Zr 0.0000 0.0000 0.0000  8 Ga 2.90, 4 Al 2.93
Al 0.5000 0.5000 0.0000  8 Ga 2.90, 4 Zr 2.93
Ga 0.0000 0.5000 0.5000  4 Zr 2.90, 4 Al 2.90, 4 Ga 2.93
Ga 0.5000 0.0000 0.5000  4 Zr 2.90, 4 Al 2.90, 4 Ga 2.93

***

An optimized crystal structure of BSbTe2W. Source: Alexandria, functional GGA-PBE.

**E_form (uncorrected)**: 1.32 eV per atom
**Polymorph energy (0 for the lowest one)**: 0 meV/atom
**Symmetry**: P4/mmm

Cell lengths 4.7408, 4.7408, 4.6966 Å; angles 90.00, 90.00, 90.00 degrees
Last column: nearest neighbours and their distance in Å.
Sites, in units of the cell vectors:
B 0.0000 0.0000 0.0000  2 Sb 2.35, 4 Te 2.37
Sb 0.0000 0.0000 0.5000  2 B 2.35
Te 0.0000 0.5000 0.0000  2 B 2.37
Te 0.5000 0.0000 0.0000  2 B 2.37
W 0.5000 0.5000 0.5000  8 Te 3.34, 4 Sb 3.35

***

An optimized crystal structure of Tb2TmHg. Source: Alexandria, functional GGA-PBE.

**ΔE_f**: -0.1535 eV per atom
**Polymorph energy (0 for the lowest one)**: 73 meV/atom
**Symmetry**: R3m

Cell lengths 3.6358, 3.6358, 31.3134 Å; angles 90.00, 90.00, 120.00 degrees
Last column: nearest neighbours and their distance in Å.
Sites, in units of the cell vectors:
Tb 0.0000 0.0000 0.0000  3 Hg 3.21, 3 Tm 3.50
Tb 0.0000 0.0000 0.1791  3 Hg 3.19, 3 Tm 3.50
Tb 0.3333 0.6667 0.6667  3 Hg 3.21, 3 Tm 3.50
Tb 0.3333 0.6667 0.8457  3 Hg 3.19, 3 Tm 3.50
Tb 0.6667 0.3333 0.3333  3 Hg 3.21, 3 Tm 3.50
Tb 0.6667 0.3333 0.5124  3 Hg 3.19, 3 Tm 3.50
Tm 0.0000 0.0000 0.4228  6 Tb 3.50, 6 Tm 3.64
Tm 0.3333 0.6667 0.0895  6 Tb 3.50, 6 Tm 3.64
Tm 0.6667 0.3333 0.7561  6 Tb 3.50, 6 Tm 3.64
Hg 0.0000 0.0000 0.5893  6 Tb 3.19-3.21
Hg 0.3333 0.6667 0.2560  6 Tb 3.19-3.21
Hg 0.6667 0.3333 0.9226  6 Tb 3.19-3.21

***

An optimized crystal structure of K5V2Se6. Source: Alexandria, functional GGA-PBE.

**E_form (uncorrected)**: -1.06 eV per atom
**Symmetry**: C2/c

Cell lengths 7.6841, 7.6841, 16.9849 Å; angles 100.55, 100.55, 64.29 degrees
Last column: nearest neighbours and their distance in Å.
Sites, in units of the cell vectors:
K 0.1282 0.8718 0.7500  4 Se 3.30-3.35
K 0.1790 0.6992 0.0012  5 Se 3.31-3.58
K 0.2439 0.4360 0.2727  5 Se 3.25-3.36
K 0.3008 0.8210 0.4988  5 Se 3.31-3.58
K 0.4360 0.2439 0.7727  5 Se 3.25-3.36
K 0.5640 0.7561 0.2273  5 Se 3.25-3.36
K 0.6992 0.1790 0.5012  5 Se 3.31-3.58
K 0.7561 0.5640 0.7273  5 Se 3.25-3.36
K 0.8210 0.3008 0.9988  5 Se 3.31-3.58
K 0.8718 0.1282 0.2500  4 Se 3.30-3.35
V 0.1226 0.4187 0.5667  4 Se 2.34-2.40
V 0.4187 0.1226 0.0667  4 Se 2.34-2.40
V 0.5813 0.8774 0.9333  4 Se 2.34-2.40
V 0.8774 0.5813 0.4333  4 Se 2.34-2.40
Se 0.0921 0.1952 0.6366  1 V 2.37
Se 0.1639 0.2818 0.4299  2 V 2.39-2.40
Se 0.1952 0.0921 0.1366  1 V 2.37
Se 0.2818 0.1639 0.9299  2 V 2.39-2.40
Se 0.3874 0.4905 0.6256  1 V 2.34
Se 0.4905 0.3874 0.1256  1 V 2.34
Se 0.5095 0.6126 0.8744  1 V 2.34
Se 0.6126 0.5095 0.3744  1 V 2.34
Se 0.7182 0.8361 0.0701  2 V 2.39-2.40
Se 0.8048 0.9079 0.8634  1 V 2.37
Se 0.8361 0.7182 0.5701  2 V 2.39-2.40
Se 0.9079 0.8048 0.3634  1 V 2.37

***

An optimized crystal structure of NdScPd. Source: Alexandria, functional GGA-PBE.

**ΔE_f**: -0.5860 eV per atom
**Polymorph energy (0 for the lowest one)**: 0 meV/atom
**Symmetry**: C2/m

Cell lengths 6.5694, 6.5622, 6.8818 Å; angles 90.00, 90.17, 90.00 degrees
Last column: nearest neighbours and their distance in Å.
Sites, in units of the cell vectors:
Nd 0.2501 0.0000 0.1242  1 Pd 2.85
Nd 0.2499 0.5000 0.8758  1 Pd 2.85
Nd 0.7499 0.0000 0.8758  1 Pd 2.85
Nd 0.7501 0.5000 0.1242  1 Pd 2.85
Sc 0.0000 0.2497 0.5000  4 Pd 2.73-2.74
Sc 0.0000 0.7503 0.5000  4 Pd 2.73-2.74
Sc 0.5000 0.2503 0.5000  4 Pd 2.73-2.74
Sc 0.5000 0.7497 0.5000  4 Pd 2.73-2.74
Pd 0.2486 0.5000 0.2895  4 Sc 2.73-2.74, 1 Nd 2.85
Pd 0.2514 0.0000 0.7105  4 Sc 2.73-2.74, 1 Nd 2.85
Pd 0.7486 0.0000 0.2895  4 Sc 2.73-2.74, 1 Nd 2.85
Pd 0.7514 0.5000 0.7105  4 Sc 2.73-2.74, 1 Nd 2.85

***

An optimized crystal structure of Pd4Pt7Rh. Source: Alexandria, functional GGA-PBE.

**ΔE_f**: 0.1284 eV per atom
**Symmetry**: P-1

Cell lengths 5.0903, 5.3858, 7.2528 Å; angles 77.30, 82.82, 89.90 degrees
Last column: nearest neighbours and their distance in Å.
Sites, in units of the cell vectors:
Pd 0.1873 0.0674 0.3289  3 Pd 2.68-2.89, 8 Pt 2.75-2.96, 1 Rh 2.79
Pd 0.1895 0.5671 0.3231  7 Pt 2.66-2.96, 3 Pd 2.68-2.96
Pd 0.8105 0.4329 0.6769  7 Pt 2.66-2.96, 3 Pd 2.68-2.96
Pd 0.8127 0.9326 0.6711  3 Pd 2.68-2.89, 8 Pt 2.75-2.96, 1 Rh 2.79
Pt 0.0000 0.0000 0.0000  2 Rh 2.55, 4 Pt 2.70-2.71, 2 Pd 2.77
Pt 0.2527 0.4451 0.9852  5 Pt 2.59-2.86, 2 Pd 2.66-2.83, 1 Rh 2.69
Pt 0.3075 0.2065 0.6682  5 Pt 2.68-2.86, 1 Rh 2.72, 6 Pd 2.81-2.96
Pt 0.3184 0.7185 0.6402  4 Pt 2.59-2.72, 4 Pd 2.75-2.82
Pt 0.6816 0.2815 0.3598  4 Pt 2.59-2.72, 4 Pd 2.75-2.82
Pt 0.6925 0.7935 0.3318  5 Pt 2.68-2.86, 1 Rh 2.72, 6 Pd 2.81-2.96
Pt 0.7473 0.5549 0.0148  5 Pt 2.59-2.86, 2 Pd 2.66-2.83, 1 Rh 2.69
Rh 0.5000 0.0000 0.0000  6 Pt 2.55-2.72, 2 Pd 2.79

***

An optimized crystal structure of LaNdAgBi. Source: Alexandria, functional GGA-PBE.

**ΔE_f**: -0.5253 eV per atom
**Symmetry**: F-43m

Cell lengths 7.7836, 7.7836, 7.7836 Å; angles 90.00, 90.00, 90.00 degrees
Last column: nearest neighbours and their distance in Å.
Sites, in units of the cell vectors:
La 0.0000 0.0000 0.0000  4 Ag 3.37, 4 Bi 3.37
La 0.0000 0.5000 0.5000  4 Ag 3.37, 4 Bi 3.37
La 0.5000 0.0000 0.5000  4 Ag 3.37, 4 Bi 3.37
La 0.5000 0.5000 0.0000  4 Ag 3.37, 4 Bi 3.37
Nd 0.0000 0.0000 0.5000  4 Bi 3.37, 4 Ag 3.37
Nd 0.0000 0.5000 0.0000  4 Bi 3.37, 4 Ag 3.37
Nd 0.5000 0.0000 0.0000  4 Bi 3.37, 4 Ag 3.37
Nd 0.5000 0.5000 0.5000  4 Bi 3.37, 4 Ag 3.37
Ag 0.2500 0.2500 0.7500  4 La 3.37, 4 Nd 3.37
Ag 0.2500 0.7500 0.2500  4 La 3.37, 4 Nd 3.37
Ag 0.7500 0.2500 0.2500  4 La 3.37, 4 Nd 3.37
Ag 0.7500 0.7500 0.7500  4 La 3.37, 4 Nd 3.37
Bi 0.2500 0.2500 0.2500  4 La 3.37, 4 Nd 3.37
Bi 0.2500 0.7500 0.7500  4 La 3.37, 4 Nd 3.37
Bi 0.7500 0.2500 0.7500  4 La 3.37, 4 Nd 3.37
Bi 0.7500 0.7500 0.2500  4 La 3.37, 4 Nd 3.37

***

E_tot / eV/cell: -20.2 -23.4 -43.9 -116.8 -72.2 -68.9 -74.1
M_tot / μB per cell: 0.00 2.16 0.86 2.01 0.00 0.00 0.00